[1]
The following is a PBE-GGA calculation of Ta2CrAu after structural relaxation, from Alexandria.

## Properties
**Symmetry**: No. 12
**Energy relative to the lowest polymorph listed for this composition**: 161 meV per atom
**Energy of formation from the pure elements**: 0.16 eV per atom
**Magnetic moment**: 0.4672 μB per atom

POSCAR file:
```
Ta2CrAu
1.0
2.827 -4.017 0.000
2.827 4.017 0.000
-0.022 0.000 2.959
Ta Cr Au
2 1 1
direct
0.000 0.500 0.000
0.500 0.000 0.000
0.000 0.000 0.500
0.500 0.500 0.500
```

[2]
The following is a PBE-GGA calculation of Ta2CrAu after structural relaxation, from Alexandria.

## Properties
**Symmetry**: No. 35
**Energy relative to the lowest polymorph listed for this composition**: 144 meV per atom
**Energy of formation from the pure elements**: 0.15 eV per atom
**Magnetic moment**: 0.0003 μB per atom

POSCAR file:
```
Ta2CrAu
1.0
1.666 -2.251 0.000
1.666 2.251 0.000
0.000 0.000 8.866
Ta Cr Au
2 1 1
direct
0.000 0.000 0.000
0.500 0.500 0.268
0.500 0.500 0.775
0.000 0.000 0.532
```

[3]
The following is a PBE-GGA calculation of Ta2CrTeAu after structural relaxation, from Alexandria.

## Properties
**Symmetry**: No. 123
**E_form (uncorrected)**: 1.83 eV per atom
**Magnetic moment**: 0.5360 μB per atom

POSCAR file:
```
Ta2CrTeAu
1.0
4.992 0.000 0.000
0.000 4.992 0.000
0.000 0.000 5.451
Ta Cr Te Au
2 1 1 1
direct
0.000 0.500 0.000
0.500 0.000 0.000
0.000 0.000 0.500
0.500 0.500 0.500
0.500 0.500 0.000
```

[4]
The following is a PBE-GGA calculation of TaCr2WAu after structural relaxation, from Alexandria.

## Properties
**Symmetry**: No. 123
**Energy of formation from the pure elements**: 2.28 eV per atom
**Magnetic moment**: 0.0001 μB per atom

POSCAR file:
```
TaCr2WAu
1.0
4.497 0.000 0.000
0.000 4.497 0.000
0.000 0.000 4.914
Ta Cr W Au
1 2 1 1
direct
0.000 0.000 0.000
0.000 0.500 0.500
0.500 0.000 0.500
0.500 0.500 0.000
0.500 0.500 0.500
```

[5]
The following is a PBE-GGA calculation of TaZnCrAu2 after structural relaxation, from Alexandria.

## Properties
**Symmetry**: No. 123
**Energy of formation from the pure elements**: 1.21 eV per atom
**Magnetic moment**: 0.4450 μB per atom

POSCAR file:
```
TaZnCrAu2
1.0
5.174 0.000 0.000
0.000 5.174 0.000
0.000 0.000 4.598
Ta Zn Cr Au
1 1 1 2
direct
0.000 0.000 0.000
0.500 0.500 0.500
0.000 0.000 0.500
0.000 0.500 0.000
0.500 0.000 0.000
```

[6]
The following is a PBE-GGA calculation of Cr3TcAu after structural relaxation, from Alexandria.

## Properties
**Symmetry**: No. 221
**Energy relative to the lowest polymorph listed for this composition**: 960 meV per atom
**Energy of formation from the pure elements**: 2.43 eV per atom
**Magnetic moment**: 0.5399 μB per atom

POSCAR file:
```
Cr3TcAu
1.0
4.563 0.000 0.000
0.000 4.563 0.000
0.000 0.000 4.563
Cr Tc Au
3 1 1
direct
0.000 0.000 0.500
0.000 0.500 0.000
0.500 0.000 0.000
0.500 0.500 0.500
0.000 0.000 0.000
```

[7]
The following is a PBE-GGA calculation of CrTcAu2 after structural relaxation, from Alexandria.

## Properties
**Symmetry**: No. 225
**Energy relative to the lowest polymorph listed for this composition**: 479 meV per atom
**Energy of formation from the pure elements**: 0.67 eV per atom
**Magnetic moment**: 0.0001 μB per atom

POSCAR file:
```
CrTcAu2
1.0
0.000 3.158 3.158
3.158 0.000 3.158
3.158 3.158 0.000
Cr Tc Au
1 1 2
direct
0.000 0.000 0.000
0.500 0.500 0.500
0.250 0.250 0.250
0.750 0.750 0.750
```

[8]
The following is a PBE-GGA calculation of CrTc2Au after structural relaxation, from Alexandria.

## Properties
**Symmetry**: No. 123
**Energy relative to the lowest polymorph listed for this composition**: 22 meV per atom
**Energy of formation from the pure elements**: 0.24 eV per atom
**Magnetic moment**: 0.2168 μB per atom

POSCAR file:
```
CrTc2Au
1.0
3.834 0.000 0.000
0.000 3.834 0.000
0.000 0.000 3.981
Cr Tc Au
1 2 1
direct
0.000 0.000 0.000
0.000 0.500 0.500
0.500 0.000 0.500
0.500 0.500 0.000
```

[9]
The following is a PBE-GGA calculation of Cr2TcAu after structural relaxation, from Alexandria.

## Properties
**Symmetry**: No. 12
**Energy of formation from the pure elements**: 0.36 eV per atom
**Magnetic moment**: 0.0000 μB per atom

POSCAR file:
```
Cr2TcAu
1.0
4.474 -1.391 0.000
4.474 1.391 0.000
-0.894 0.000 4.751
Cr Tc Au
2 1 1
direct
0.249 0.249 0.321
0.751 0.751 0.679
0.000 0.000 0.500
0.500 0.500 0.000
```

[10]
The following is a PBE-GGA calculation of CrTc2Au after structural relaxation, from Alexandria.

## Properties
**Symmetry**: No. 65
**Energy relative to the lowest polymorph listed for this composition**: 68 meV per atom
**Energy of formation from the pure elements**: 0.28 eV per atom
**Magnetic moment**: 0.0001 μB per atom

POSCAR file:
```
CrTc2Au
1.0
1.566 -2.168 0.000
1.566 2.168 0.000
0.000 0.000 8.761
Cr Tc Au
1 2 1
direct
0.000 0.000 0.000
0.500 0.500 0.222
0.500 0.500 0.778
0.000 0.000 0.500
```

[11]
The following is a PBE-GGA calculation of CrTc2Au after structural relaxation, from Alexandria.

## Properties
**Symmetry**: No. 160
**Energy relative to the lowest polymorph listed for this composition**: 71 meV per atom
**Energy of formation from the pure elements**: 0.29 eV per atom
**Magnetic moment**: 0.0002 μB per atom

POSCAR file:
```
CrTc2Au
1.0
1.374 0.793 9.084
-1.374 0.793 9.084
0.000 -1.587 9.084
Cr Tc Au
1 2 1
direct
0.000 0.000 0.000
0.491 0.491 0.491
0.746 0.746 0.746
0.249 0.249 0.249
```

[12]
The following is a PBE-GGA calculation of Cr3TcAu after structural relaxation, from Alexandria.

## Properties
**Symmetry**: No. 221
**Energy relative to the lowest polymorph listed for this composition**: 0 meV per atom
**Energy of formation from the pure elements**: 1.47 eV per atom
**Magnetic moment**: 0.0001 μB per atom

POSCAR file:
```
Cr3TcAu
1.0
4.421 0.000 0.000
0.000 4.421 0.000
0.000 0.000 4.421
Cr Tc Au
3 1 1
direct
0.000 0.000 0.500
0.000 0.500 0.000
0.500 0.000 0.000
0.000 0.000 0.000
0.500 0.500 0.500
```

Taking the records one at a time from the top gives raw total energy values of -35.95, -36.01, -30.60, -35.91, -23.26, -30.37, -23.86, -32.68, -31.46, -32.50, -32.49, -35.17 eV/cell.